Entry 1:
# Er4Mg5 | Alexandria | PBE | optimized geometry
# **Spin magnetization**: 0.00 μB/cell
# **Uncorrected energy**: -0.21247 Ry per atom
# **Fermi-level density of states**: 11.3 states/eV/f.u.
data_Er4Mg5
_chemical_formula_sum 'Er8 Mg10'
_cell_length_a 9.2771
_cell_length_b 9.2771
_cell_length_c 6.4605
_cell_angle_alpha 90.00
_cell_angle_beta 90.00
_cell_angle_gamma 120.00
_symmetry_space_group_name_H-M 'P 63/m c m'
_symmetry_Int_Tables_number 193
_symmetry_space_group_name_Hall '-P 6c 2'
loop_
_atom_site_label
_atom_site_type_symbol
_atom_site_fract_x
_atom_site_fract_y
_atom_site_fract_z
Er1 Er 0.0000 0.0000 0.0000
Er2 Er 0.0000 0.3408 0.2500
Mg1 Mg 0.0000 0.3285 0.7500
Mg2 Mg 0.3333 0.6667 0.0000

Entry 2:
# Ta3PbI | Alexandria | PBE | optimized geometry
# **E_form (uncorrected)**: 2.4855 eV/atom
# **Spin magnetization**: 0.00 μB/cell
# **Uncorrected energy**: -0.41731 Ry per atom
# **ΔE to the lowest computed polymorph**: 2.49 eV/f.u.
# **Fermi-level density of states**: 11.1 states/eV/f.u.
data_Ta3PbI
_chemical_formula_sum 'Ta3 Pb1 I1'
_cell_length_a 5.2162
_cell_length_b 5.2162
_cell_length_c 5.2162
_cell_angle_alpha 90.00
_cell_angle_beta 90.00
_cell_angle_gamma 90.00
_symmetry_space_group_name_H-M 'P m -3 m'
_symmetry_Int_Tables_number 221
_symmetry_space_group_name_Hall '-P 4 2 3'
loop_
_atom_site_label
_atom_site_type_symbol
_atom_site_fract_x
_atom_site_fract_y
_atom_site_fract_z
Ta1 Ta 0.0000 0.0000 0.5000
Pb1 Pb 0.0000 0.0000 0.0000
I1 I 0.5000 0.5000 0.5000

Entry 3:
# Re2TcSe | Alexandria | PBE | optimized geometry
# **E_form (uncorrected)**: 0.6108 eV/atom
# **Spin magnetization**: 0.00 μB/cell
# **Uncorrected energy**: -0.66707 Ry per atom
# **Fermi-level density of states**: 4.8 states/eV/f.u.
data_Re2TcSe
_chemical_formula_sum 'Re4 Tc2 Se2'
_cell_length_a 2.9323
_cell_length_b 4.6915
_cell_length_c 9.1758
_cell_angle_alpha 90.00
_cell_angle_beta 90.00
_cell_angle_gamma 90.00
_symmetry_space_group_name_H-M 'C m m 2'
_symmetry_Int_Tables_number 35
loop_
_symmetry_equiv_pos_as_xyz
'x,y,z'
'-x,-y,z'
'-x,y,z'
'x,-y,z'
'x+1/2,y+1/2,z'
'-x+1/2,-y+1/2,z'
'-x+1/2,y+1/2,z'
'x+1/2,-y+1/2,z'
loop_
_atom_site_label
_atom_site_type_symbol
_atom_site_fract_x
_atom_site_fract_y
_atom_site_fract_z
Re1 Re 0.0000 0.0000 0.0000
Re2 Re 0.0000 0.5000 0.2386
Tc1 Tc 0.0000 0.0000 0.4805
Se1 Se 0.0000 0.5000 0.7257

Entry 4:
# ZrBe3Ga | Alexandria | PBE | optimized geometry
# **Spin magnetization**: 0.00 μB/cell
# **Uncorrected energy**: -0.29761 Ry per atom
# **ΔE to the lowest computed polymorph**: 0.00 eV/f.u.
# **Fermi-level density of states**: 1.5 states/eV/f.u.
data_ZrBe3Ga
_chemical_formula_sum 'Zr1 Be3 Ga1'
_cell_length_a 4.1308
_cell_length_b 4.1308
_cell_length_c 4.1308
_cell_angle_alpha 90.00
_cell_angle_beta 90.00
_cell_angle_gamma 90.00
_symmetry_space_group_name_H-M 'P m -3 m'
_symmetry_Int_Tables_number 221
_symmetry_space_group_name_Hall '-P 4 2 3'
loop_
_atom_site_label
_atom_site_type_symbol
_atom_site_fract_x
_atom_site_fract_y
_atom_site_fract_z
Zr1 Zr 0.0000 0.0000 0.0000
Be1 Be 0.0000 0.5000 0.5000
Ga1 Ga 0.5000 0.5000 0.5000

Entry 5:
# SrLa2YCo | Alexandria | PBE | optimized geometry
# **Spin magnetization**: 0.00 μB/cell
# **Uncorrected energy**: -0.37125 Ry per atom
# **Fermi-level density of states**: 5.1 states/eV/f.u.
data_SrLa2YCo
_chemical_formula_sum 'Sr1 La2 Y1 Co1'
_cell_length_a 5.4987
_cell_length_b 5.4987
_cell_length_c 5.6902
_cell_angle_alpha 90.00
_cell_angle_beta 90.00
_cell_angle_gamma 90.00
_symmetry_space_group_name_H-M 'P 4/m m m'
_symmetry_Int_Tables_number 123
_symmetry_space_group_name_Hall '-P 4 2'
loop_
_atom_site_label
_atom_site_type_symbol
_atom_site_fract_x
_atom_site_fract_y
_atom_site_fract_z
Sr1 Sr 0.0000 0.0000 0.0000
La1 La 0.0000 0.5000 0.5000
Y1 Y 0.5000 0.5000 0.0000
Co1 Co 0.5000 0.5000 0.5000

Entry 6:
# Na2Pm2Ge | Alexandria | PBE | optimized geometry
# **Spin magnetization**: 0.57 μB/cell
# **Uncorrected energy**: -0.24531 Ry per atom
# **Fermi-level density of states**: 4.5 states/eV/f.u.
data_Na2Pm2Ge
_chemical_formula_sum 'Na4 Pm4 Ge2'
_cell_length_a 3.9637
_cell_length_b 3.9637
_cell_length_c 19.3509
_cell_angle_alpha 90.00
_cell_angle_beta 90.00
_cell_angle_gamma 90.00
_symmetry_space_group_name_H-M 'I 4/m m m'
_symmetry_Int_Tables_number 139
_symmetry_space_group_name_Hall '-I 4 2'
loop_
_atom_site_label
_atom_site_type_symbol
_atom_site_fract_x
_atom_site_fract_y
_atom_site_fract_z
Na1 Na 0.0000 0.5000 0.2500
Pm1 Pm 0.0000 0.0000 0.0777
Ge1 Ge 0.0000 0.0000 0.5000